{"formula": "Cs3Te3Pt2", "functional": "GGA-PBE", "state": "optimized geometry", "n_ef_per_ev_atom": 0.573, "raw_formation_energy_kj_per_mol_atoms": -57.2, "lattice_angstrom": [[2.4779, -6.9691, 0.0000], [2.4779, 6.9691, 0.0000], [0.0000, 0.0000, 16.8617]], "species": ["Cs", "Cs", "Cs", "Cs", "Cs", "Cs", "Te", "Te", "Te", "Te", "Te", "Te", "Pt", "Pt", "Pt", "Pt"], "frac_coords": [[0.0639, 0.9361, 0.6073], [0.0639, 0.9361, 0.8927], [0.3908, 0.6092, 0.7500], [0.6092, 0.3908, 0.2500], [0.9361, 0.0639, 0.1073], [0.9361, 0.0639, 0.3927], [0.2990, 0.7010, 0.2500], [0.3200, 0.6800, 0.5481], [0.3200, 0.6800, 0.9519], [0.6800, 0.3200, 0.0481], [0.6800, 0.3200, 0.4519], [0.7010, 0.2990, 0.7500], [0.2346, 0.7654, 0.0957], [0.2346, 0.7654, 0.4043], [0.7654, 0.2346, 0.5957], [0.7654, 0.2346, 0.9043]]}